Record 1
Below is NaTaSe2Br after structural relaxation, with properties calculated at the GGA-PBE level.

Geometry as extended XYZ:
```
5
Lattice="5.0658 0.0000 0.0000 0.0000 5.0658 0.0000 0.0000 0.0000 5.2824" Properties=species:S:1:pos:R:3 pbc="T T T"
Na 0.0000 0.0000 0.0000
Ta 2.5329 2.5329 2.6412
Se 0.0000 2.5329 2.6412
Se 2.5329 0.0000 2.6412
Br 2.5329 2.5329 0.0000
```

Summary:
Crystal system ... tetragonal
Excess energy over the best structure of this formula in the dataset ... 0 meV per atom
Space group ... P4/mmm

Record 2
Below is NaTaSe2Br after structural relaxation, with properties calculated at the GGA-PBE level.

Geometry as extended XYZ:
```
5
Lattice="5.0498 0.0000 0.0000 0.0000 5.0498 0.0000 0.0000 0.0000 4.9234" Properties=species:S:1:pos:R:3 pbc="T T T"
Na 0.0000 0.0000 0.0000
Ta 2.5249 2.5249 2.4617
Se 0.0000 2.5249 0.0000
Se 2.5249 0.0000 0.0000
Br 0.0000 0.0000 2.4617
```

Summary:
Crystal system ... tetragonal
Excess energy over the best structure of this formula in the dataset ... 1559 meV per atom
Space group ... P4/mmm

Record 3
Below is NaTeSeBr2 after structural relaxation, with properties calculated at the GGA-PBE level.

Geometry as extended XYZ:
```
5
Lattice="5.6822 0.0000 0.0000 0.0000 5.6822 0.0000 0.0000 0.0000 5.4913" Properties=species:S:1:pos:R:3 pbc="T T T"
Na 0.0000 0.0000 0.0000
Te 2.8411 2.8411 2.7456
Se 2.8411 2.8411 0.0000
Br 0.0000 2.8411 2.7456
Br 2.8411 0.0000 2.7456
```

Summary:
Crystal system ... tetragonal
Excess energy over the best structure of this formula in the dataset ... 0 meV per atom
Space group ... P4/mmm

Record 4
Below is NaTeSeBr2 after structural relaxation, with properties calculated at the GGA-PBE level.

Geometry as extended XYZ:
```
5
Lattice="5.1469 0.0000 0.0000 0.0000 5.1469 0.0000 0.0000 0.0000 5.5429" Properties=species:S:1:pos:R:3 pbc="T T T"
Na 0.0000 0.0000 0.0000
Te 2.5735 2.5735 2.7715
Se 0.0000 0.0000 2.7715
Br 0.0000 2.5735 0.0000
Br 2.5735 0.0000 0.0000
```

Summary:
Crystal system ... tetragonal
Excess energy over the best structure of this formula in the dataset ... 571 meV per atom
Space group ... P4/mmm

Record 5
Below is NaTiSe2Br after structural relaxation, with properties calculated at the GGA-PBE level.

Geometry as extended XYZ:
```
5
Lattice="5.0814 0.0000 0.0000 0.0000 5.0814 0.0000 0.0000 0.0000 5.0578" Properties=species:S:1:pos:R:3 pbc="T T T"
Na 0.0000 0.0000 0.0000
Ti 2.5407 2.5407 2.5289
Se 0.0000 2.5407 0.0000
Se 2.5407 0.0000 0.0000
Br 0.0000 0.0000 2.5289
```

Summary:
Crystal system ... tetragonal
Excess energy over the best structure of this formula in the dataset ... 1385 meV per atom
Space group ... P4/mmm

Record 6
Below is NaTiSe2Br after structural relaxation, with properties calculated at the GGA-PBE level.

Geometry as extended XYZ:
```
5
Lattice="4.9448 0.0000 0.0000 0.0000 4.9448 0.0000 0.0000 0.0000 5.3906" Properties=species:S:1:pos:R:3 pbc="T T T"
Na 0.0000 0.0000 0.0000
Ti 2.4724 2.4724 2.6953
Se 0.0000 2.4724 2.6953
Se 2.4724 0.0000 2.6953
Br 2.4724 2.4724 0.0000
```

Summary:
Crystal system ... tetragonal
Excess energy over the best structure of this formula in the dataset ... 0 meV per atom
Space group ... P4/mmm

Record 7
Below is NaTlSeBr2 after structural relaxation, with properties calculated at the GGA-PBE level.

Geometry as extended XYZ:
```
5
Lattice="5.8148 0.0000 0.0000 0.0000 5.8148 0.0000 0.0000 0.0000 5.3621" Properties=species:S:1:pos:R:3 pbc="T T T"
Na 0.0000 0.0000 0.0000
Tl 2.9074 2.9074 2.6810
Se 2.9074 2.9074 0.0000
Br 0.0000 2.9074 2.6810
Br 2.9074 0.0000 2.6810
```

Summary:
Crystal system ... tetragonal
Excess energy over the best structure of this formula in the dataset ... 0 meV per atom
Space group ... P4/mmm

Record 8
Below is NaTlSeBr2 after structural relaxation, with properties calculated at the GGA-PBE level.

Geometry as extended XYZ:
```
5
Lattice="5.6552 0.0000 0.0000 0.0000 5.6552 0.0000 0.0000 0.0000 5.4439" Properties=species:S:1:pos:R:3 pbc="T T T"
Na 0.0000 0.0000 0.0000
Tl 2.8276 2.8276 2.7220
Se 0.0000 0.0000 2.7220
Br 0.0000 2.8276 0.0000
Br 2.8276 0.0000 0.0000
```

Summary:
Crystal system ... tetragonal
Excess energy over the best structure of this formula in the dataset ... 109 meV per atom
Space group ... P4/mmm

Record 9
Below is Na2USe2Br2 after structural relaxation, with properties calculated at the GGA-PBE level.

Geometry as extended XYZ:
```
7
Lattice="-2.7715 2.7715 7.4715 2.7715 -2.7715 7.4715 2.7715 2.7715 -7.4715" Properties=species:S:1:pos:R:3 pbc="T T T"
Na 0.0000 0.0000 1.7661
Na 0.0000 0.0000 13.1770
U 0.0000 0.0000 7.4715
Se 2.7715 0.0000 0.0000
Se 0.0000 2.7715 0.0000
Br 0.0000 0.0000 4.6486
Br 0.0000 0.0000 10.2945
```

Summary:
Crystal system ... tetragonal
Space group ... I4/mmm

Record 10
Below is NaVSeBr2 after structural relaxation, with properties calculated at the GGA-PBE level.

Geometry as extended XYZ:
```
5
Lattice="5.3407 0.0000 0.0000 0.0000 5.3407 0.0000 0.0000 0.0000 4.7880" Properties=species:S:1:pos:R:3 pbc="T T T"
Na 0.0000 0.0000 0.0000
V 2.6704 2.6704 2.3940
Se 2.6704 2.6704 0.0000
Br 0.0000 2.6704 2.3940
Br 2.6704 0.0000 2.3940
```

Summary:
Crystal system ... tetragonal
Excess energy over the best structure of this formula in the dataset ... 0 meV per atom
Space group ... P4/mmm

Record 11
Below is NaVSeBr2 after structural relaxation, with properties calculated at the GGA-PBE level.

Geometry as extended XYZ:
```
5
Lattice="5.1825 0.0000 0.0000 0.0000 5.1825 0.0000 0.0000 0.0000 5.4079" Properties=species:S:1:pos:R:3 pbc="T T T"
Na 0.0000 0.0000 0.0000
V 2.5913 2.5913 2.7040
Se 0.0000 0.0000 2.7040
Br 0.0000 2.5913 0.0000
Br 2.5913 0.0000 0.0000
```

Summary:
Crystal system ... tetragonal
Excess energy over the best structure of this formula in the dataset ... 1081 meV per atom
Space group ... P4/mmm

Record 12
Below is NaWSe2Br after structural relaxation, with properties calculated at the GGA-PBE level.

Geometry as extended XYZ:
```
5
Lattice="5.0080 0.0000 0.0000 0.0000 5.0080 0.0000 0.0000 0.0000 4.8864" Properties=species:S:1:pos:R:3 pbc="T T T"
Na 0.0000 0.0000 0.0000
W 2.5040 2.5040 2.4432
Se 0.0000 2.5040 0.0000
Se 2.5040 0.0000 0.0000
Br 0.0000 0.0000 2.4432
```

Summary:
Crystal system ... tetragonal
Excess energy over the best structure of this formula in the dataset ... 1735 meV per atom
Space group ... P4/mmm

Record 13
Below is NaWSe2Br after structural relaxation, with properties calculated at the GGA-PBE level.

Geometry as extended XYZ:
```
5
Lattice="4.9020 0.0000 0.0000 0.0000 4.9020 0.0000 0.0000 0.0000 5.5801" Properties=species:S:1:pos:R:3 pbc="T T T"
Na 0.0000 0.0000 0.0000
W 2.4510 2.4510 2.7901
Se 0.0000 2.4510 2.7901
Se 2.4510 0.0000 2.7901
Br 2.4510 2.4510 0.0000
```

Summary:
Crystal system ... tetragonal
Excess energy over the best structure of this formula in the dataset ... 0 meV per atom
Space group ... P4/mmm

Record 14
Below is NaZnSeBr2 after structural relaxation, with properties calculated at the GGA-PBE level.

Geometry as extended XYZ:
```
5
Lattice="5.4158 0.0000 0.0000 0.0000 5.4158 0.0000 0.0000 0.0000 4.8963" Properties=species:S:1:pos:R:3 pbc="T T T"
Na 0.0000 0.0000 0.0000
Zn 2.7079 2.7079 2.4481
Se 2.7079 2.7079 0.0000
Br 0.0000 2.7079 2.4481
Br 2.7079 0.0000 2.4481
```

Summary:
Crystal system ... tetragonal
Excess energy over the best structure of this formula in the dataset ... 0 meV per atom
Space group ... P4/mmm

Record 15
Below is NaZnSeBr2 after structural relaxation, with properties calculated at the GGA-PBE level.

Geometry as extended XYZ:
```
5
Lattice="5.4741 0.0000 0.0000 0.0000 5.4741 0.0000 0.0000 0.0000 5.4727" Properties=species:S:1:pos:R:3 pbc="T T T"
Na 0.0000 0.0000 0.0000
Zn 2.7371 2.7371 2.7364
Se 0.0000 0.0000 2.7364
Br 0.0000 2.7371 0.0000
Br 2.7371 0.0000 0.0000
```

Summary:
Crystal system ... tetragonal
Excess energy over the best structure of this formula in the dataset ... 700 meV per atom
Space group ... P4/mmm

Record 16
Below is NaZnSe2Br after structural relaxation, with properties calculated at the GGA-PBE level.

Geometry as extended XYZ:
```
5
Lattice="4.8377 0.0000 0.0000 0.0000 4.8377 0.0000 0.0000 0.0000 5.9712" Properties=species:S:1:pos:R:3 pbc="T T T"
Na 0.0000 0.0000 0.0000
Zn 2.4188 2.4188 2.9856
Se 0.0000 2.4188 2.9856
Se 2.4188 0.0000 2.9856
Br 2.4188 2.4188 0.0000
```

Summary:
Crystal system ... tetragonal
Excess energy over the best structure of this formula in the dataset ... 0 meV per atom
Space group ... P4/mmm

Record 17
Below is NaZnSe2Br after structural relaxation, with properties calculated at the GGA-PBE level.

Geometry as extended XYZ:
```
5
Lattice="5.4934 0.0000 0.0000 0.0000 5.4934 0.0000 0.0000 0.0000 5.3967" Properties=species:S:1:pos:R:3 pbc="T T T"
Na 0.0000 0.0000 0.0000
Zn 2.7467 2.7467 2.6984
Se 0.0000 2.7467 0.0000
Se 2.7467 0.0000 0.0000
Br 0.0000 0.0000 2.6984
```

Summary:
Crystal system ... tetragonal
Excess energy over the best structure of this formula in the dataset ... 767 meV per atom
Space group ... P4/mmm

Record 18
Below is NaZrSeBr2 after structural relaxation, with properties calculated at the GGA-PBE level.

Geometry as extended XYZ:
```
5
Lattice="5.4110 0.0000 0.0000 0.0000 5.4110 0.0000 0.0000 0.0000 5.2442" Properties=species:S:1:pos:R:3 pbc="T T T"
Na 0.0000 0.0000 0.0000
Zr 2.7055 2.7055 2.6221
Se 2.7055 2.7055 0.0000
Br 0.0000 2.7055 2.6221
Br 2.7055 0.0000 2.6221
```

Summary:
Crystal system ... tetragonal
Excess energy over the best structure of this formula in the dataset ... 0 meV per atom
Space group ... P4/mmm

Record 19
Below is NaZrSeBr2 after structural relaxation, with properties calculated at the GGA-PBE level.

Geometry as extended XYZ:
```
5
Lattice="4.9702 0.0000 0.0000 0.0000 4.9702 0.0000 0.0000 0.0000 5.4372" Properties=species:S:1:pos:R:3 pbc="T T T"
Na 0.0000 0.0000 0.0000
Zr 2.4851 2.4851 2.7186
Se 0.0000 0.0000 2.7186
Br 0.0000 2.4851 0.0000
Br 2.4851 0.0000 0.0000
```

Summary:
Crystal system ... tetragonal
Excess energy over the best structure of this formula in the dataset ... 1020 meV per atom
Space group ... P4/mmm

Record 20
Below is NaSiBr3 after structural relaxation, with properties calculated at the GGA-PBE level.

Geometry as extended XYZ:
```
5
Lattice="5.3495 0.0000 0.0000 0.0000 5.3495 0.0000 0.0000 0.0000 5.3495" Properties=species:S:1:pos:R:3 pbc="T T T"
Na 0.0000 0.0000 0.0000
Si 2.6747 2.6747 2.6747
Br 0.0000 2.6747 2.6747
Br 2.6747 0.0000 2.6747
Br 2.6747 2.6747 0.0000
```

Summary:
Crystal system ... cubic
Space group ... Pm-3m

Record 21
Below is NaSi2Br after structural relaxation, with properties calculated at the GGA-PBE level.

Geometry as extended XYZ:
```
4
Lattice="0.0000 3.5408 3.5408 3.5408 0.0000 3.5408 3.5408 3.5408 0.0000" Properties=species:S:1:pos:R:3 pbc="T T T"
Na 0.0000 0.0000 0.0000
Si 1.7704 1.7704 1.7704
Si 5.3112 5.3112 5.3112
Br 3.5408 3.5408 3.5408
```

Summary:
Crystal system ... cubic
Excess energy over the best structure of this formula in the dataset ... 350 meV per atom
Space group ... Fm-3m

Record 22
Below is NaSi2Br8 after structural relaxation, with properties calculated at the GGA-PBE level.

Geometry as extended XYZ:
```
11
Lattice="6.5597 -5.2830 0.0000 6.5597 5.2830 0.0000 -1.3664 0.0000 6.6131" Properties=species:S:1:pos:R:3 pbc="T T T"
Na 0.0000 0.0000 0.0000
Si 1.7832 0.0000 4.5616
Si 9.9697 0.0000 2.0515
Br 4.7042 3.4449 1.5077
Br 2.1747 0.0000 2.2888
Br 7.0487 3.4449 5.1054
Br 3.7623 0.0000 5.7120
Br 7.9906 0.0000 0.9011
Br 4.7042 -3.4449 1.5077
Br 9.5782 0.0000 4.3243
Br 7.0487 -3.4449 5.1054
```

Summary:
Crystal system ... monoclinic
Space group ... C2/m

Record 23
Below is NaSiBr3 after structural relaxation, with properties calculated at the GGA-PBE level.

Geometry as extended XYZ:
```
5
Lattice="5.3060 0.0000 0.0000 0.0000 5.3060 0.0000 0.0000 0.0000 5.3060" Properties=species:S:1:pos:R:3 pbc="T T T"
Na 0.0000 0.0000 0.0000
Si 2.6530 2.6530 2.6530
Br 0.0000 0.0000 2.6530
Br 0.0000 2.6530 0.0000
Br 2.6530 0.0000 0.0000
```

Summary:
Crystal system ... cubic
Space group ... Pm-3m

Record 24
Below is NaSiBr2 after structural relaxation, with properties calculated at the GGA-PBE level.

Geometry as extended XYZ:
```
4
Lattice="1.9536 1.1279 8.8301 -1.9536 1.1279 8.8301 0.0000 -2.2558 8.8301" Properties=species:S:1:pos:R:3 pbc="T T T"
Na 0.0000 0.0000 0.0000
Si 0.0000 0.0000 13.2451
Br 0.0000 0.0000 10.6594
Br 0.0000 0.0000 15.8309
```

Summary:
Crystal system ... trigonal
Excess energy over the best structure of this formula in the dataset ... 0 meV per atom
Space group ... R-3m

Record 25
Below is NaSiBr6 after structural relaxation, with properties calculated at the GGA-PBE level.

Geometry as extended XYZ:
```
8
Lattice="4.3120 -6.3002 0.0000 4.3120 6.3002 0.0000 -4.2661 0.0000 5.8880" Properties=species:S:1:pos:R:3 pbc="T T T"
Na 0.0000 0.0000 0.0000
Si 2.1789 0.0000 2.9440
Br 2.1462 1.7061 1.2423
Br -0.2320 0.0000 2.9994
Br 2.1462 -1.7061 1.2423
Br 2.2116 1.7061 4.6457
Br 4.5898 0.0000 2.8886
Br 2.2116 -1.7061 4.6457
```

Summary:
Crystal system ... monoclinic
Space group ... C2/m

Record 26
Below is NaSiBr2 after structural relaxation, with properties calculated at the GGA-PBE level.

Geometry as extended XYZ:
```
8
Lattice="-2.8811 2.8811 8.0620 2.8811 -2.8811 8.0620 2.8811 2.8811 -8.0620" Properties=species:S:1:pos:R:3 pbc="T T T"
Na 0.0000 0.0000 0.0000
Na 0.0000 2.8811 4.0310
Si 2.8811 0.0000 4.0310
Si 0.0000 0.0000 8.0620
Br 1.4406 -1.2806 6.0465
Br 1.6005 1.4406 2.0155
Br 1.4406 4.1617 -2.0155
Br 1.2806 1.4406 10.0775
```

Summary:
Crystal system ... tetragonal
Excess energy over the best structure of this formula in the dataset ... 104 meV per atom
Space group ... I-42d

Record 27
Below is NaSi3Br after structural relaxation, with properties calculated at the GGA-PBE level.

Geometry as extended XYZ:
```
5
Lattice="5.1433 0.0000 0.0000 0.0000 5.1433 0.0000 0.0000 0.0000 5.1433" Properties=species:S:1:pos:R:3 pbc="T T T"
Na 0.0000 0.0000 0.0000
Si 0.0000 0.0000 2.5716
Si 0.0000 2.5716 0.0000
Si 2.5716 0.0000 0.0000
Br 2.5716 2.5716 2.5716
```

Summary:
Crystal system ... cubic
Excess energy over the best structure of this formula in the dataset ... 353 meV per atom
Space group ... Pm-3m

Record 28
Below is NaSiBr2 after structural relaxation, with properties calculated at the GGA-PBE level.

Geometry as extended XYZ:
```
4
Lattice="0.0000 3.6572 3.6572 3.6572 0.0000 3.6572 3.6572 3.6572 0.0000" Properties=species:S:1:pos:R:3 pbc="T T T"
Na 0.0000 0.0000 0.0000
Si 3.6572 3.6572 3.6572
Br 1.8286 1.8286 1.8286
Br 5.4858 5.4858 5.4858
```

Summary:
Crystal system ... cubic
Excess energy over the best structure of this formula in the dataset ... 180 meV per atom
Space group ... Fm-3m

| no. | E (Ry/atom) | Fermi-level density of states (states/eV/f.u.) |
| --- | --- | --- |
| 1 | -0.366 | 2.43 |
| 2 | -0.251 | 6.39 |
| 3 | -0.195 | 1.65 |
| 4 | -0.154 | 6.62 |
| 5 | -0.230 | 10.29 |
| 6 | -0.331 | 1.88 |
| 7 | -0.190 | 5.16 |
| 8 | -0.182 | 3.54 |
| 9 | -0.345 | 6.10 |
| 10 | -0.311 | 1.52 |
| 11 | -0.231 | 9.02 |
| 12 | -0.227 | 8.46 |
| 13 | -0.354 | 4.00 |
| 14 | -0.181 | 3.66 |
| 15 | -0.129 | 6.22 |
| 16 | -0.190 | 6.50 |
| 17 | -0.133 | 5.26 |
| 18 | -0.325 | 1.63 |
| 19 | -0.250 | 4.16 |
| 20 | -0.224 | 0.00 |
| 21 | -0.194 | 3.46 |
| 22 | -0.226 | 5.70 |
| 23 | -0.173 | 0.00 |
| 24 | -0.215 | 0.94 |
| 25 | -0.201 | 11.09 |
| 26 | -0.208 | 1.65 |
| 27 | -0.175 | 16.51 |
| 28 | -0.202 | 2.09 |